First-principles (PBE) data for an optimized crystal structure of Ti6PdC4, as listed in the Alexandria database.

- Uncorrected energy: -8.8776 eV per atom
- Fermi-level density of states: 0.415 states/eV per atom

a b c (Å): 3.105 5.418 16.530
angles (deg): 90.00 90.00 106.65
Atoms (fractional coordinates):
C  0.139  0.278  0.461
Ti  0.225  0.450  0.924
Ti  0.037  0.074  0.147
Ti  0.647  0.295  0.750
C  0.592  0.184  0.878
C  0.408  0.816  0.122
Ti  0.037  0.074  0.353
Ti  0.353  0.705  0.250
Ti  0.500  0.000  0.500
C  0.861  0.722  0.539
C  0.139  0.278  0.039
Ti  0.963  0.926  0.853
Ti  0.775  0.550  0.076
Ti  0.963  0.926  0.647
Ti  0.225  0.450  0.576
Ti  0.500  0.000  0.000
Pd  0.662  0.324  0.250
C  0.592  0.184  0.622
C  0.408  0.816  0.378
Pd  0.338  0.676  0.750
Ti  0.775  0.550  0.424
C  0.861  0.722  0.961

First-principles (PBE) data for an optimized crystal structure of MnTcAs2, as listed in the Alexandria database.

- Uncorrected energy: -7.3008 eV per atom
- Fermi-level density of states: 0.537 states/eV per atom
- ΔE to the lowest computed polymorph: 14 meV/atom

a b c (Å): 4.641 4.641 4.450
angles (deg): 76.93 76.93 40.05
Last column: magnetic moment on the atom in μB.
Atoms (fractional coordinates):
As  0.754  0.754  0.671  -0.09
Mn  0.486  0.486  0.576  2.84
Tc  0.266  0.266  0.188  -0.15
As  0.995  0.995  0.065  -0.06

First-principles (PBE) data for an optimized crystal structure of LiTl2SbBr6, as listed in the Alexandria database.

- Raw formation energy: -856.4 kJ/mol of formula units
- Uncorrected energy: -2.9682 eV per atom
- Fermi-level density of states: 0.000 states/eV per atom

a b c (Å): 7.570 7.934 10.853
angles (deg): 90.00 90.18 90.00
Atoms (fractional coordinates):
Br  0.911  0.514  0.246
Br  0.803  0.799  0.955
Sb  0.000  0.500  0.500
Br  0.302  0.702  0.042
Br  0.303  0.701  0.455
Br  0.698  0.298  0.958
Li  0.000  0.500  0.000
Br  0.411  0.986  0.746
Br  0.589  0.014  0.254
Tl  0.977  0.075  0.750
Br  0.197  0.201  0.045
Tl  0.523  0.575  0.750
Br  0.198  0.202  0.458
Br  0.802  0.798  0.542
Tl  0.023  0.925  0.250
Li  0.500  0.000  0.500
Tl  0.477  0.425  0.250
Br  0.697  0.299  0.545
Br  0.089  0.486  0.754
Sb  0.500  0.000  0.000

First-principles (PBE) data for an optimized crystal structure of Pm2PaAs, as listed in the Alexandria database.

- Uncorrected energy: -6.2486 eV per atom
- Fermi-level density of states: 0.738 states/eV per atom
- ΔE to the lowest computed polymorph: 54 meV/atom

a b c (Å): 3.775 3.775 9.481
angles (deg): 78.52 78.52 60.00
Atoms (fractional coordinates):
As  0.000  0.000  0.000
Pa  0.500  0.500  0.500
Pm  0.265  0.265  0.204
Pm  0.735  0.735  0.796

First-principles (PBE) data for an optimized crystal structure of YVPt2, as listed in the Alexandria database.

- Uncorrected energy: -7.0881 eV per atom
- Fermi-level density of states: 0.994 states/eV per atom
- ΔE to the lowest computed polymorph: 419 meV/atom

a b c (Å): 4.861 4.861 8.639
angles (deg): 73.66 73.66 90.00
Last column: magnetic moment on the atom in μB.
Atoms (fractional coordinates):
V  0.250  0.750  0.500  1.67
Y  0.750  0.250  0.500  0.05
Y  0.000  0.000  0.000  0.05
Pt  0.238  0.625  0.250  0.01
V  0.500  0.500  0.000  1.67
Pt  0.875  0.762  0.750  0.01
Pt  0.375  0.488  0.750  0.01
Pt  0.512  0.125  0.250  0.01

First-principles (PBE) data for an optimized crystal structure of SrMnOs2, as listed in the Alexandria database.

- Uncorrected energy: -7.5003 eV per atom
- Fermi-level density of states: 1.286 states/eV per atom
- ΔE to the lowest computed polymorph: 549 meV/atom

a b c (Å): 9.776 9.776 9.776
angles (deg): 16.55 16.55 16.55
Last column: magnetic moment on the atom in μB.
Atoms (fractional coordinates):
Mn  0.750  0.750  0.750  1.98
Sr  0.250  0.250  0.250  0.02
Os  0.014  0.014  0.014  -0.18
Os  0.486  0.486  0.486  -0.18

First-principles (PBE) data for an optimized crystal structure of PmSmHg, as listed in the Alexandria database.

- Uncorrected energy: -3.3529 eV per atom
- Fermi-level density of states: 1.730 states/eV per atom
- ΔE to the lowest computed polymorph: 240 meV/atom

a b c (Å): 5.214 5.214 5.214
angles (deg): 60.00 60.00 60.00
Last column: magnetic moment on the atom in μB.
Atoms (fractional coordinates):
Pm  0.500  0.500  0.500  0.15
Hg  0.250  0.250  0.250  0.01
Sm  0.000  0.000  0.000  0.15

First-principles (PBE) data for an optimized crystal structure of Li2Ga5Cu2Ni, as listed in the Alexandria database.

- Uncorrected energy: -3.4364 eV per atom
- Fermi-level density of states: 0.358 states/eV per atom

a b c (Å): 3.212 9.859 9.859
angles (deg): 90.00 90.00 90.00
Atoms (fractional coordinates):
Ga  0.500  0.439  0.312
Cu  0.000  0.866  0.366
Ga  0.500  0.812  0.939
Li  0.000  0.172  0.328
Ga  0.500  0.688  0.439
Cu  0.000  0.366  0.134
Cu  0.000  0.134  0.634
Ga  0.500  0.061  0.812
Li  0.000  0.672  0.172
Ga  0.500  0.312  0.561
Li  0.000  0.328  0.828
Ga  0.500  0.188  0.061
Ga  0.500  0.000  0.500
Li  0.000  0.828  0.672
Ga  0.500  0.500  0.000
Ni  0.000  0.000  0.000
Ni  0.000  0.500  0.500
Cu  0.000  0.634  0.866
Ga  0.500  0.939  0.188
Ga  0.500  0.561  0.688

First-principles (PBE) data for an optimized crystal structure of Tb2Nd3Bi3, as listed in the Alexandria database.

- Uncorrected energy: -5.0099 eV per atom
- Fermi-level density of states: 1.315 states/eV per atom

a b c (Å): 4.451 7.827 15.755
angles (deg): 90.00 90.00 106.52
Atoms (fractional coordinates):
Bi  0.612  0.224  0.750
Bi  0.391  0.782  0.539
Nd  0.044  0.088  0.614
Nd  0.615  0.230  0.250
Tb  0.760  0.521  0.604
Bi  0.391  0.782  0.961
Nd  0.385  0.770  0.750
Tb  0.240  0.479  0.396
Bi  0.388  0.776  0.250
Bi  0.609  0.218  0.461
Bi  0.609  0.218  0.039
Nd  0.956  0.912  0.114
Nd  0.956  0.912  0.386
Tb  0.240  0.479  0.104
Nd  0.044  0.088  0.886
Tb  0.760  0.521  0.896

First-principles (PBE) data for an optimized crystal structure of Ag2POs, as listed in the Alexandria database.

- Uncorrected energy: -4.8170 eV per atom
- Fermi-level density of states: 0.703 states/eV per atom

a b c (Å): 7.557 7.557 5.854
angles (deg): 49.80 49.80 90.00
Last column: magnetic moment on the atom in μB.
Atoms (fractional coordinates):
Ag  0.173  0.625  0.250  0.00
Ag  0.375  0.423  0.750  0.00
Ag  0.577  0.125  0.250  0.00
Os  0.000  0.000  0.000  0.20
Ag  0.875  0.827  0.750  0.00
Os  0.750  0.250  0.500  0.20
P  0.250  0.750  0.500  0.00
P  0.500  0.500  0.000  0.00

First-principles (PBE) data for an optimized crystal structure of Hf2MgS, as listed in the Alexandria database.

- Raw formation energy: 21.0 kJ/mol of formula units
- Uncorrected energy: -6.3527 eV per atom
- Fermi-level density of states: 0.772 states/eV per atom
- ΔE to the lowest computed polymorph: 607 meV/atom

a b c (Å): 4.760 4.760 4.760
angles (deg): 60.00 60.00 60.00
Atoms (fractional coordinates):
Hf  0.250  0.250  0.250
S  0.500  0.500  0.500
Hf  0.750  0.750  0.750
Mg  0.000  0.000  0.000

First-principles (PBE) data for an optimized crystal structure of AlPbIO2, as listed in the Alexandria database.

- Raw formation energy: -343.0 kJ/mol of formula units
- Uncorrected energy: -4.4945 eV per atom
- Fermi-level density of states: 0.229 states/eV per atom
- ΔE to the lowest computed polymorph: 0 meV/atom

a b c (Å): 4.114 4.114 5.362
angles (deg): 90.00 90.00 90.00
Atoms (fractional coordinates):
O  0.000  0.500  0.000
Pb  0.500  0.500  0.500
O  0.500  0.000  0.000
Al  0.000  0.000  0.000
I  0.000  0.000  0.500